Record 1
VASP calculation (PBE-GGA) on an optimized crystal structure of CuNiI4.

Calculated values
SG: No. 12

a b c (Å): 8.0898 8.0898 7.1627
angles (deg): 113.38 113.38 27.61
Closest atoms and distances in Å follow each position.
Sites, in units of the cell vectors:
Cu1 0.0000 0.0000 0.0000  4 I 2.69
Ni1 0.5000 0.5000 0.5000  6 I 2.69-2.81
I1 0.1125 0.1125 0.4679  2 Ni 2.69
I2 0.3984 0.3984 0.0737  2 Cu 2.69, 1 Ni 2.81
I3 0.6016 0.6016 0.9263  2 Cu 2.69, 1 Ni 2.81
I4 0.8875 0.8875 0.5321  2 Ni 2.69


Record 2
VASP calculation (PBE-GGA) on an optimized crystal structure of CuNiI2.

Calculated values
SG: No. 166
energy relative to the lowest polymorph listed for this composition: 27.0 kJ per mole of atoms

a b c (Å): 8.2217 8.2217 8.2217
angles (deg): 29.04 29.04 29.04
Closest atoms and distances in Å follow each position.
Sites, in units of the cell vectors:
Cu1 0.0000 0.0000 0.0000  6 I 2.83
Ni1 0.5000 0.5000 0.5000  2 I 2.41
I1 0.3981 0.3981 0.3981  1 Ni 2.41
I2 0.6019 0.6019 0.6019  1 Ni 2.41


Values for calculated total energy, eV per atom, ordered as above
-2.735, -2.928
Values for ΔE_f (raw), eV/atom, ordered as above
-0.055, 0.317